The following is a PBEsol calculation of crystalline NaB15 at its relaxed geometry, from Alexandria.

Calculated values
For the total magnetization, the calculation gives 0.00 μB per formula unit. For the density of states at the Fermi level, the calculation gives 1.2 states/eV per cell. The total DFT energy (no corrections) comes out at -6.725 eV per atom. The formation energy comes out at -93 kJ/mol of formula units.

abc: 5.8189 10.2702 8.3653
angles: 90.00 90.00 90.00
Closest atoms and distances in Å follow each position.
Space group Imma (No. 74)
Asymmetric unit:
Na1 0.0000 0.2500 0.1604  8 B 2.49-2.70
B1 0.0000 0.0998 0.6546  6 B 1.73-1.80
B2 0.0000 0.1462 0.8916  3 B 1.60-1.72
B3 0.0000 0.1649 0.4550  6 B 1.75-1.82
B4 0.0000 0.2500 0.7496  4 B 1.60-1.73
B5 0.1608 0.0490 0.3349  6 B 1.76-1.87
B6 0.2482 0.0808 0.5374  6 B 1.72-1.82

***

The following is a PBEsol calculation of crystalline TaWC at its relaxed geometry, from Alexandria.

Calculated values
For the total magnetization, the calculation gives 0.00 μB per formula unit. For the density of states at the Fermi level, the calculation gives 0.9 states/eV per cell. The total DFT energy (no corrections) comes out at -12.379 eV per atom. The formation energy comes out at -109 kJ/mol of formula units.

abc: 3.0751 3.0751 4.7434
angles: 90.00 90.00 120.00
Closest atoms and distances in Å follow each position.
Space group P3m1 (No. 156)
Asymmetric unit:
Ta1 0.0000 0.0000 0.0000  3 C 2.17
W1 0.3333 0.6667 0.5051  3 C 2.12
C1 0.6667 0.3333 0.2613  3 W 2.12, 3 Ta 2.17

***

The following is a PBEsol calculation of crystalline InRh3 at its relaxed geometry, from Alexandria.

Calculated values
For the total magnetization, the calculation gives 0.00 μB per formula unit. For the density of states at the Fermi level, the calculation gives 7.7 states/eV per cell. The total DFT energy (no corrections) comes out at -6.958 eV per atom. The formation energy comes out at -42 kJ/mol of formula units.

abc: 5.6114 7.4953 2.8099
angles: 90.00 90.00 90.00
Closest atoms and distances in Å follow each position.
Space group Cmmm (No. 65)
Asymmetric unit:
In1 0.0000 0.0000 0.0000  10 Rh 2.73-2.81, 2 In 2.81
Rh1 0.0000 0.5000 0.0000  10 Rh 2.73-2.81, 2 In 2.81
Rh2 0.2500 0.2500 0.5000  4 In 2.73, 8 Rh 2.73-2.81